A plane-wave DFT calculation with GGA+U was carried out for an optimized crystal structure of MoAuO3.

Lattice parameters (Å, degrees): 3.9369 3.9369 3.9369 90.00 90.00 90.00
Closest atoms and distances in Å follow each position.
Fractional positions:
Mo  0.0000  0.0000  0.0000  6 O 1.97
Au  0.5000  0.5000  0.5000  12 O 2.78
O  0.0000  0.5000  0.0000  2 Mo 1.97
O  0.0000  0.0000  0.5000  2 Mo 1.97
O  0.5000  0.0000  0.0000  2 Mo 1.97

Output
Total energy, eV/cell: -28.74
DOS(E_F), states/eV per atom: 0.2912
Space group: Pm-3m
Calculated density, g/cm3: 9.28